1.
Density functional theory data (PBE) for a relaxed structure of Dy4Er8Pu.

a = 7.6617 Å, b = 7.6617 Å, c = 7.6617 Å
α = 90.11°, β = 90.11°, γ = 90.11°
With the nearest neighbours (Å) after each atom.
Fractional positions:
Er 0.2456 0.7557 0.7557  4 Dy 3.25-3.34, 1 Pu 3.39
Er 0.2443 0.7544 0.2443  4 Dy 3.25-3.34, 1 Pu 3.39
Er 0.7554 0.7554 0.7554  4 Dy 3.24-3.34, 1 Pu 3.38
Er 0.7557 0.7557 0.2456  4 Dy 3.25-3.34, 1 Pu 3.39
Er 0.7544 0.2443 0.2443  4 Dy 3.25-3.34, 1 Pu 3.39
Er 0.2446 0.2446 0.2446  4 Dy 3.24-3.34, 1 Pu 3.38
Er 0.2443 0.2443 0.7544  4 Dy 3.25-3.34, 1 Pu 3.39
Er 0.7557 0.2456 0.7557  4 Dy 3.25-3.34, 1 Pu 3.39
Pu 0.5000 0.5000 0.5000  8 Er 3.38-3.39
Dy 0.0000 0.5000 0.5000  8 Er 3.34
Dy 0.5000 0.5000 0.0000  8 Er 3.34
Dy 0.0000 0.0000 0.0000  8 Er 3.24-3.25
Dy 0.5000 0.0000 0.5000  8 Er 3.34

* total magnetic moment: 6.38 μB per formula unit
* density of states at the Fermi level: 18.5 states/eV/f.u.
* calculated volume: 34.60 Å³/atom
* VASP energy: -4.81 eV per atom
* energy relative to the elements: 520 meV per atom
* symmetry: R-3m

=====

2.
Density functional theory data (PBE) for a relaxed structure of Dy6Er3Pu.

a = 9.7006 Å, b = 9.7006 Å, c = 6.7988 Å
α = 44.49°, β = 44.49°, γ = 60.00°
With the nearest neighbours (Å) after each atom.
Fractional positions:
Dy 0.5750 0.2253 0.2993  1 Pu 3.15, 2 Er 3.43
Dy 0.4006 0.7337 0.7989  3 Er 3.23-3.36
Dy 0.9004 0.5750 0.2993  1 Pu 3.15, 2 Er 3.43
Dy 0.7337 0.0668 0.7989  3 Er 3.23-3.36
Dy 0.2253 0.9004 0.2993  1 Pu 3.15, 2 Er 3.43
Dy 0.0668 0.4006 0.7989  3 Er 3.23-3.36
Er 0.3996 0.3996 0.8013  2 Er 2.95, 3 Dy 3.23
Er 0.6549 0.6549 0.0353  1 Pu 2.83, 1 Er 2.95
Er 0.1441 0.1441 0.5678  1 Pu 2.83, 1 Er 2.95
Pu 0.8996 0.8996 0.3011  2 Er 2.83, 3 Dy 3.15

* total magnetic moment: 8.07 μB per formula unit
* density of states at the Fermi level: 16.2 states/eV/f.u.
* calculated volume: 31.41 Å³/atom
* VASP energy: -5.32 eV per atom
* energy relative to the elements: 244 meV per atom
* symmetry: R3